No. 1
Material: NaMgPt
Method: DFT, PBE
State: optimized geometry

POSCAR file:
```
NaMgPt
1.0
0.000 3.218 3.218
3.218 0.000 3.218
3.218 3.218 0.000
Na Mg Pt
1 1 1
Direct
0.000 0.000 0.000
0.500 0.500 0.500
0.750 0.750 0.750
```

## Properties
Density (g/cm³): 6.0
DFT total energy (eV/atom): -3.1787
Offset from the most stable computed form (kJ per mole of atoms): 0.0

=====

No. 2
Material: Na2MgPt2
Method: DFT, PBE
State: optimized geometry

POSCAR file:
```
Na2MgPt2
1.0
0.000 5.609 7.360
2.909 0.000 7.360
2.909 5.609 0.000
Na Mg Pt
4 2 4
Direct
0.071 0.071 0.679
0.321 0.321 0.929
0.679 0.679 0.071
0.929 0.929 0.321
0.375 0.375 0.375
0.625 0.625 0.625
0.000 0.500 0.500
0.500 0.000 0.500
0.500 0.500 0.000
0.500 0.500 0.500
```

## Properties
Density (g/cm³): 6.4
DFT total energy (eV/atom): -3.2691

=====

No. 3
Material: NaMg2Pt2
Method: DFT, PBE
State: optimized geometry

POSCAR file:
```
NaMg2Pt2
1.0
7.867 0.000 0.000
0.000 7.867 0.000
0.000 0.000 2.926
Na Mg Pt
2 4 4
Direct
0.000 0.000 0.000
0.500 0.500 0.000
0.145 0.355 0.500
0.355 0.855 0.500
0.645 0.145 0.500
0.855 0.645 0.500
0.149 0.649 0.000
0.351 0.149 0.000
0.649 0.851 0.000
0.851 0.351 0.000
```

## Properties
Density (g/cm³): 8.5
DFT total energy (eV/atom): -3.9486

=====

No. 4
Material: NaMgPt
Method: DFT, PBE
State: optimized geometry

POSCAR file:
```
NaMgPt
1.0
0.000 3.168 3.168
3.168 0.000 3.168
3.168 3.168 0.000
Na Mg Pt
1 1 1
Direct
0.000 0.000 0.000
0.750 0.750 0.750
0.250 0.250 0.250
```

## Properties
Density (g/cm³): 6.3
DFT total energy (eV/atom): -2.7393
Offset from the most stable computed form (kJ per mole of atoms): 42.4

=====

No. 5
Material: Na2MgPtS4
Method: DFT, PBE
State: optimized geometry

POSCAR file:
```
Na2MgPtS4
1.0
-3.525 3.525 3.274
3.525 -3.525 3.274
3.525 3.525 -3.274
Na Mg Pt S
2 1 1 4
Direct
0.000 0.000 0.000
0.750 0.250 0.500
0.250 0.750 0.500
0.500 0.500 0.000
0.254 0.707 0.066
0.293 0.360 0.547
0.640 0.187 0.934
0.813 0.746 0.453
```

## Properties
Density (g/cm³): 4.0
DFT total energy (eV/atom): -4.0287
Offset from the most stable computed form (kJ per mole of atoms): 0.0

=====

No. 6
Material: Na4MgSiPt2
Method: DFT, PBE
State: optimized geometry

POSCAR file:
```
Na4MgSiPt2
1.0
4.662 0.000 0.000
0.000 4.662 0.000
0.000 0.000 6.609
Na Mg Si Pt
4 1 1 2
Direct
0.000 0.000 0.000
0.000 0.500 0.747
0.500 0.000 0.253
0.500 0.500 0.500
0.500 0.500 0.000
0.000 0.000 0.500
0.000 0.500 0.278
0.500 0.000 0.722
```

## Properties
Density (g/cm³): 6.2
DFT total energy (eV/atom): -3.1833

=====

No. 7
Material: Na4MgZnPt2
Method: DFT, PBE
State: optimized geometry

POSCAR file:
```
Na4MgZnPt2
1.0
4.732 0.000 0.000
0.000 4.732 0.000
0.000 0.000 6.742
Na Mg Zn Pt
4 1 1 2
Direct
0.000 0.000 0.000
0.000 0.500 0.737
0.500 0.000 0.263
0.500 0.500 0.500
0.500 0.500 0.000
0.000 0.000 0.500
0.000 0.500 0.253
0.500 0.000 0.747
```

## Properties
Density (g/cm³): 6.3
DFT total energy (eV/atom): -2.7119

=====

No. 8
Material: Na2MgReS4
Method: DFT, PBE
State: optimized geometry

POSCAR file:
```
Na2MgReS4
1.0
4.562 -4.750 0.000
4.562 4.750 0.000
-4.560 0.000 4.564
Na Mg Re S
2 1 1 4
Direct
0.000 0.000 0.000
0.751 0.249 0.500
0.250 0.750 0.500
0.500 0.500 0.000
0.186 0.428 0.038
0.391 0.148 0.576
0.572 0.814 0.962
0.852 0.609 0.424
```

## Properties
Density (g/cm³): 3.2
DFT total energy (eV/atom): -4.8279

=====

No. 9
Material: Na2MgReS4
Method: DFT, PBE
State: optimized geometry

POSCAR file:
```
Na2MgReS4
1.0
-3.192 3.192 4.911
3.192 -3.192 4.911
3.192 3.192 -4.911
Na Mg Re S
2 1 1 4
Direct
0.000 0.000 0.000
0.750 0.250 0.500
0.250 0.750 0.500
0.500 0.500 0.000
0.187 0.610 0.038
0.390 0.428 0.576
0.572 0.148 0.962
0.852 0.813 0.424
```

## Properties
Density (g/cm³): 3.2
DFT total energy (eV/atom): -4.8274

=====

No. 10
Material: NaSmMgS3
Method: DFT, PBE
State: optimized geometry

POSCAR file:
```
NaSmMgS3
1.0
11.754 0.000 0.000
0.000 4.082 0.000
0.000 0.000 11.600
Na Sm Mg S
4 4 4 12
Direct
0.132 0.250 0.011
0.368 0.750 0.511
0.632 0.250 0.489
0.868 0.750 0.989
0.034 0.250 0.669
0.466 0.750 0.169
0.534 0.250 0.831
0.966 0.750 0.331
0.237 0.250 0.285
0.263 0.750 0.785
0.737 0.250 0.215
0.763 0.750 0.715
0.064 0.750 0.839
0.096 0.250 0.432
0.218 0.750 0.172
0.282 0.250 0.672
0.404 0.750 0.932
0.436 0.250 0.339
0.564 0.750 0.661
0.596 0.250 0.068
0.718 0.750 0.328
0.782 0.250 0.828
0.904 0.750 0.568
0.936 0.250 0.161
```

## Properties
Density (g/cm³): 3.5
DFT total energy (eV/atom): -4.9289
Offset from the most stable computed form (kJ per mole of atoms): 0.0

=====

Question: The lowest DFT total energy belongs to which entry?
Answer: NaSmMgS3